Record 1
Computed, not measured: a relaxed YZrNb crystal at the PBE-GGA level of DFT.

Lattice parameters (Å, degrees): 6.280 8.504 5.427 90.00 90.00 90.00
Sites, in units of the cell vectors:
1 Nb 0.250 0.784 0.128
2 Y 0.250 0.366 0.455
3 Nb 0.750 0.216 0.128
4 Nb 0.750 0.284 0.628
5 Zr 0.000 0.500 0.967
6 Nb 0.250 0.716 0.628
7 Zr 0.500 0.500 0.967
8 Zr 0.500 0.000 0.467
9 Y 0.750 0.634 0.455
10 Y 0.250 0.134 0.955
11 Y 0.750 0.866 0.955
12 Zr 0.000 0.000 0.467

Computed properties:
final energy = -8.176 eV/atom
crystal system = orthorhombic



Record 2
Computed, not measured: a relaxed YZrNb crystal at the PBE-GGA level of DFT.

Lattice parameters (Å, degrees): 5.049 5.049 3.209 90.00 90.00 120.00
Sites, in units of the cell vectors:
1 Nb 0.000 0.000 0.000
2 Y 0.667 0.333 0.500
3 Zr 0.333 0.667 0.000

Computed properties:
final energy = -8.195 eV/atom
crystal system = hexagonal



Record 3
Computed, not measured: a relaxed YZrNb crystal at the PBE-GGA level of DFT.

Lattice parameters (Å, degrees): 7.486 3.577 11.494 90.00 109.30 90.00
Sites, in units of the cell vectors:
1 Y 0.407 0.000 0.345
2 Y 0.593 0.500 0.155
3 Nb 0.222 0.500 0.524
4 Y 0.407 0.500 0.845
5 Zr 0.956 0.000 0.354
6 Zr 0.044 0.500 0.146
7 Nb 0.778 0.000 0.976
8 Nb 0.778 0.500 0.476
9 Zr 0.044 0.000 0.646
10 Zr 0.956 0.500 0.854
11 Y 0.593 0.000 0.655
12 Nb 0.222 0.000 0.024

Computed properties:
final energy = -8.201 eV/atom
crystal system = monoclinic